Below is a relaxed structure of La2SiNi2Ge, with properties calculated at the PBE-GGA level.

E	-5.883	eV/atom
energy above the most stable polymorph in this dataset	0.067	eV per formula unit

a b c (Å): 4.2258 4.2258 6.9517
angles (deg): 90.00 90.00 90.00
Last column: nearest neighbours and their distance in Å.
Sites, in units of the cell vectors:
La: 0.0000 0.0000 0.0000  4 Ni 2.98, 4 Si 3.15
La: 0.5000 0.5000 0.3813  4 Ni 3.05, 4 Ge 3.12, 1 Si 3.32
Si: 0.5000 0.5000 0.8584  4 Ni 2.39
Ni: 0.0000 0.5000 0.6976  2 Si 2.39, 2 Ge 2.48
Ni: 0.5000 0.0000 0.6976  2 Si 2.39, 2 Ge 2.48
Ge: 0.0000 0.0000 0.5121  4 Ni 2.48